No. 1
VASP calculation (GGA-PBE) on an optimized crystal structure of TlSnHgI2.

Summary:
As for the uncorrected formation energy: -0.212 eV/atom.

Lattice parameters (Å, degrees): 6.252 6.252 5.750 90.00 90.00 90.00
Space group P4/mmm (No. 123)
Inequivalent atoms, fractional coordinates:
Tl1 0.000 0.000 0.000 [1 per cell]
Sn1 0.500 0.500 0.500 [1 per cell]
Hg1 0.500 0.500 0.000 [1 per cell]
I1 0.000 0.500 0.500 [2 per cell]

No. 2
VASP calculation (GGA-PBE) on an optimized crystal structure of TmMg3Zr3.

Summary:
The formation energy is 0.050 eV/atom.

Lattice parameters (Å, degrees): 8.6461 8.6461 5.1105 90.00 90.00 120.00
Space group P6_3/m (No. 176)
Inequivalent atoms, fractional coordinates:
Tm1 0.3333 0.6667 0.2500 [2 per cell]
Mg1 0.0420 0.2353 0.2500 [6 per cell]
Zr1 0.0985 0.4748 0.7500 [6 per cell]

Looking at theoretical density for the records above, in order, we have 5744, 5175 kg/m3.
Looking at energy for the records above, in order, we have -2.1666, -4.9355 eV per atom.